Record 1
{"formula": "La3Sn2GePd9", "functional": "GGA-PBE", "state": "relaxed", "lattice": [[6.957, 0.000, 0.000], [-3.478, 6.025, 0.000], [0.000, 0.000, 8.556]], "species": ["La", "La", "La", "Sn", "Sn", "Ge", "Pd", "Pd", "Pd", "Pd", "Pd", "Pd", "Pd", "Pd", "Pd"], "frac_coords": [[0.000, 0.000, 0.000], [0.333, 0.667, 0.724], [0.667, 0.333, 0.276], [0.333, 0.667, 0.208], [0.667, 0.333, 0.792], [0.000, 0.000, 0.500], [0.000, 0.500, 0.000], [0.132, 0.264, 0.285], [0.132, 0.868, 0.285], [0.264, 0.132, 0.715], [0.500, 0.000, 0.000], [0.500, 0.500, 0.000], [0.736, 0.868, 0.285], [0.868, 0.132, 0.715], [0.868, 0.736, 0.715]], "dos_ef_per_ev_atom": 0.430, "total_magnetization_mub_per_fu": 0.00, "rho_g_cm3": 7.801, "space_group": "P-3m1 (164)", "e_form_ev_per_atom": -0.525}

***

Record 2
{"formula": "La3Sn2GePd6", "functional": "GGA-PBE", "state": "relaxed", "lattice": [[5.909, 0.000, 0.000], [-2.955, 5.118, 0.000], [0.000, 0.000, 8.848]], "species": ["La", "La", "La", "Sn", "Sn", "Ge", "Pd", "Pd", "Pd", "Pd", "Pd", "Pd"], "frac_coords": [[0.000, 0.000, 0.000], [0.333, 0.667, 0.640], [0.667, 0.333, 0.360], [0.333, 0.667, 0.041], [0.667, 0.333, 0.959], [0.000, 0.000, 0.500], [0.172, 0.344, 0.295], [0.172, 0.828, 0.295], [0.344, 0.172, 0.705], [0.656, 0.828, 0.295], [0.828, 0.172, 0.705], [0.828, 0.656, 0.705]], "dos_ef_per_ev_atom": 0.497, "total_magnetization_mub_per_fu": 0.00, "rho_g_cm3": 8.473, "space_group": "P-3m1 (164)", "e_form_ev_per_atom": -0.770}

***

Record 3
{"formula": "La2TbGe3Pd4", "functional": "GGA-PBE", "state": "relaxed", "lattice": [[4.348, 0.000, 0.000], [0.000, 4.348, 0.000], [0.000, 0.000, 11.248]], "species": ["La", "La", "Tb", "Ge", "Ge", "Ge", "Pd", "Pd", "Pd", "Pd"], "frac_coords": [[0.000, 0.500, 0.224], [0.500, 0.000, 0.776], [0.000, 0.000, 0.500], [0.000, 0.500, 0.880], [0.500, 0.000, 0.120], [0.500, 0.500, 0.500], [0.000, 0.000, 0.000], [0.000, 0.500, 0.657], [0.500, 0.000, 0.343], [0.500, 0.500, 0.000]], "dos_ef_per_ev_atom": 0.693, "total_magnetization_mub_per_fu": 0.00, "rho_g_cm3": 8.438, "space_group": "P-4m2 (115)", "e_form_ev_per_atom": -0.871}

***

Record 4
{"formula": "LaTbGe2Pd2", "functional": "GGA-PBE", "state": "relaxed", "lattice": [[4.473, 0.000, 0.000], [-2.237, 3.874, 0.000], [0.000, 0.000, 7.432]], "species": ["La", "Tb", "Ge", "Ge", "Pd", "Pd"], "frac_coords": [[0.000, 0.000, 0.000], [0.000, 0.000, 0.500], [0.333, 0.667, 0.269], [0.667, 0.333, 0.731], [0.333, 0.667, 0.708], [0.667, 0.333, 0.292]], "dos_ef_per_ev_atom": 0.877, "total_magnetization_mub_per_fu": 0.00, "rho_g_cm3": 8.457, "space_group": "P-3m1 (164)", "e_form_ev_per_atom": -0.940}

***

Record 5
{"formula": "LaTbGe2Pd5", "functional": "GGA-PBE", "state": "relaxed", "lattice": [[4.306, 0.000, 0.000], [0.000, 4.306, 0.000], [0.000, 0.000, 9.137]], "species": ["La", "Tb", "Ge", "Ge", "Pd", "Pd", "Pd", "Pd", "Pd"], "frac_coords": [[0.000, 0.000, 0.000], [0.000, 0.000, 0.500], [0.500, 0.500, 0.366], [0.500, 0.500, 0.634], [0.000, 0.500, 0.231], [0.000, 0.500, 0.769], [0.500, 0.000, 0.231], [0.500, 0.000, 0.769], [0.500, 0.500, 0.000]], "dos_ef_per_ev_atom": 0.323, "total_magnetization_mub_per_fu": 0.00, "rho_g_cm3": 9.559, "space_group": "P4/mmm (123)", "e_form_ev_per_atom": -0.800}

***

Record 6
{"formula": "LaTbGePd", "functional": "GGA-PBE", "state": "relaxed", "lattice": [[0.000, 3.647, 3.647], [3.647, 0.000, 3.647], [3.647, 3.647, 0.000]], "species": ["La", "Tb", "Ge", "Pd"], "frac_coords": [[0.000, 0.000, 0.000], [0.500, 0.500, 0.500], [0.750, 0.750, 0.750], [0.250, 0.250, 0.250]], "dos_ef_per_ev_atom": 0.501, "total_magnetization_mub_per_fu": 0.00, "rho_g_cm3": 8.160, "space_group": "F-43m (216)", "e_form_ev_per_atom": -0.758}

***

Record 7
{"formula": "La2TcGe6Pd", "functional": "GGA-PBE", "state": "relaxed", "lattice": [[6.416, 0.000, 0.000], [0.000, 8.813, 0.000], [0.000, 0.000, 7.744]], "species": ["La", "La", "La", "La", "Tc", "Tc", "Ge", "Ge", "Ge", "Ge", "Ge", "Ge", "Ge", "Ge", "Ge", "Ge", "Ge", "Ge", "Pd", "Pd"], "frac_coords": [[0.250, 0.001, 0.246], [0.250, 0.499, 0.246], [0.750, 0.501, 0.754], [0.750, 0.999, 0.754], [0.250, 0.750, 0.658], [0.750, 0.250, 0.342], [0.045, 0.250, 0.540], [0.061, 0.750, 0.950], [0.250, 0.028, 0.675], [0.250, 0.472, 0.675], [0.439, 0.750, 0.950], [0.455, 0.250, 0.540], [0.545, 0.750, 0.460], [0.561, 0.250, 0.050], [0.750, 0.528, 0.325], [0.750, 0.972, 0.325], [0.939, 0.250, 0.050], [0.955, 0.750, 0.460], [0.250, 0.250, 0.879], [0.750, 0.750, 0.121]], "dos_ef_per_ev_atom": 0.547, "total_magnetization_mub_per_fu": 0.00, "rho_g_cm3": 6.963, "space_group": "Pmmn (59)", "e_form_ev_per_atom": -0.414}

***

Record 8
{"formula": "La2TmGe4Pd3", "functional": "GGA-PBE", "state": "relaxed", "lattice": [[4.340, 0.000, 0.000], [0.000, 4.340, 0.000], [0.000, 0.000, 11.332]], "species": ["La", "La", "Tm", "Ge", "Ge", "Ge", "Ge", "Pd", "Pd", "Pd"], "frac_coords": [[0.000, 0.500, 0.230], [0.500, 0.000, 0.770], [0.000, 0.000, 0.500], [0.000, 0.000, 0.000], [0.000, 0.500, 0.660], [0.500, 0.000, 0.340], [0.500, 0.500, 0.000], [0.000, 0.500, 0.882], [0.500, 0.000, 0.118], [0.500, 0.500, 0.500]], "dos_ef_per_ev_atom": 0.418, "total_magnetization_mub_per_fu": 0.00, "rho_g_cm3": 8.218, "space_group": "P-4m2 (115)", "e_form_ev_per_atom": -0.853}

***

Record 9
{"formula": "LaTmGe2Pd5", "functional": "GGA-PBE", "state": "relaxed", "lattice": [[4.297, 0.000, 0.000], [0.000, 4.297, 0.000], [0.000, 0.000, 9.100]], "species": ["La", "Tm", "Ge", "Ge", "Pd", "Pd", "Pd", "Pd", "Pd"], "frac_coords": [[0.000, 0.000, 0.000], [0.000, 0.000, 0.500], [0.500, 0.500, 0.367], [0.500, 0.500, 0.633], [0.000, 0.500, 0.232], [0.000, 0.500, 0.768], [0.500, 0.000, 0.232], [0.500, 0.000, 0.768], [0.500, 0.500, 0.000]], "dos_ef_per_ev_atom": 0.307, "total_magnetization_mub_per_fu": 0.00, "rho_g_cm3": 9.738, "space_group": "P4/mmm (123)", "e_form_ev_per_atom": -0.777}

***

Record 10
{"formula": "LaTmGePd", "functional": "GGA-PBE", "state": "relaxed", "lattice": [[0.000, 3.619, 3.619], [3.619, 0.000, 3.619], [3.619, 3.619, 0.000]], "species": ["La", "Tm", "Ge", "Pd"], "frac_coords": [[0.000, 0.000, 0.000], [0.500, 0.500, 0.500], [0.250, 0.250, 0.250], [0.750, 0.750, 0.750]], "dos_ef_per_ev_atom": 0.475, "total_magnetization_mub_per_fu": 0.00, "rho_g_cm3": 8.527, "space_group": "F-43m (216)", "e_form_ev_per_atom": -0.761}

***

Record 11
{"formula": "La2YGe3Pd4", "functional": "GGA-PBE", "state": "relaxed", "lattice": [[4.337, 0.000, 0.000], [0.000, 4.337, 0.000], [0.000, 0.000, 11.299]], "species": ["La", "La", "Y", "Ge", "Ge", "Ge", "Pd", "Pd", "Pd", "Pd"], "frac_coords": [[0.000, 0.500, 0.224], [0.500, 0.000, 0.776], [0.000, 0.000, 0.500], [0.000, 0.500, 0.880], [0.500, 0.000, 0.120], [0.500, 0.500, 0.500], [0.000, 0.000, 0.000], [0.000, 0.500, 0.659], [0.500, 0.000, 0.341], [0.500, 0.500, 0.000]], "dos_ef_per_ev_atom": 0.705, "total_magnetization_mub_per_fu": 0.00, "rho_g_cm3": 7.895, "space_group": "P-4m2 (115)", "e_form_ev_per_atom": -0.870}

***

Record 12
{"formula": "LaYGePd", "functional": "GGA-PBE", "state": "relaxed", "lattice": [[0.000, 3.645, 3.645], [3.645, 0.000, 3.645], [3.645, 3.645, 0.000]], "species": ["La", "Y", "Ge", "Pd"], "frac_coords": [[0.000, 0.000, 0.000], [0.500, 0.500, 0.500], [0.250, 0.250, 0.250], [0.750, 0.750, 0.750]], "dos_ef_per_ev_atom": 0.513, "total_magnetization_mub_per_fu": 0.00, "rho_g_cm3": 6.976, "space_group": "F-43m (216)", "e_form_ev_per_atom": -0.766}

***

Record 13
{"formula": "La2Zn3Ge4Pd", "functional": "GGA-PBE", "state": "relaxed", "lattice": [[4.344, 0.000, 0.000], [0.000, 4.344, 0.000], [0.000, 0.000, 10.566]], "species": ["La", "La", "Zn", "Zn", "Zn", "Ge", "Ge", "Ge", "Ge", "Pd"], "frac_coords": [[0.000, 0.500, 0.244], [0.500, 0.000, 0.756], [0.000, 0.000, 0.000], [0.000, 0.500, 0.635], [0.500, 0.000, 0.365], [0.000, 0.000, 0.500], [0.000, 0.500, 0.868], [0.500, 0.000, 0.132], [0.500, 0.500, 0.500], [0.500, 0.500, 0.000]], "dos_ef_per_ev_atom": 0.207, "total_magnetization_mub_per_fu": 0.00, "rho_g_cm3": 7.253, "space_group": "P-4m2 (115)", "e_form_ev_per_atom": -0.576}

***

Record 14
{"formula": "La2Zn4Ge3Pd", "functional": "GGA-PBE", "state": "relaxed", "lattice": [[4.299, 0.000, 0.000], [0.000, 4.299, 0.000], [0.000, 0.000, 10.705]], "species": ["La", "La", "Zn", "Zn", "Zn", "Zn", "Ge", "Ge", "Ge", "Pd"], "frac_coords": [[0.000, 0.500, 0.248], [0.500, 0.000, 0.752], [0.000, 0.000, 0.500], [0.000, 0.500, 0.871], [0.500, 0.000, 0.129], [0.500, 0.500, 0.500], [0.000, 0.000, 0.000], [0.000, 0.500, 0.639], [0.500, 0.000, 0.361], [0.500, 0.500, 0.000]], "dos_ef_per_ev_atom": 0.345, "total_magnetization_mub_per_fu": 0.00, "rho_g_cm3": 7.251, "space_group": "P-4m2 (115)", "e_form_ev_per_atom": -0.546}

***

Record 15
{"formula": "La2ZnGePd6", "functional": "GGA-PBE", "state": "relaxed", "lattice": [[5.544, 0.000, 0.000], [2.764, 5.968, 0.000], [2.770, 0.014, 6.108]], "species": ["La", "La", "Zn", "Ge", "Pd", "Pd", "Pd", "Pd", "Pd", "Pd"], "frac_coords": [[0.245, 0.232, 0.278], [0.755, 0.768, 0.722], [0.500, 0.500, 0.500], [0.000, 0.000, 0.000], [0.235, 0.773, 0.262], [0.251, 0.589, 0.907], [0.270, 0.226, 0.738], [0.730, 0.774, 0.262], [0.749, 0.411, 0.093], [0.765, 0.227, 0.738]], "dos_ef_per_ev_atom": 0.476, "total_magnetization_mub_per_fu": 0.00, "rho_g_cm3": 8.664, "space_group": "P-1 (2)", "e_form_ev_per_atom": -0.686}

***

Record 16
{"formula": "La2ZnGe4Pd3", "functional": "GGA-PBE", "state": "relaxed", "lattice": [[4.379, 0.000, 0.000], [0.000, 4.379, 0.000], [0.000, 0.000, 10.352]], "species": ["La", "La", "Zn", "Ge", "Ge", "Ge", "Ge", "Pd", "Pd", "Pd"], "frac_coords": [[0.000, 0.500, 0.248], [0.500, 0.000, 0.752], [0.000, 0.000, 0.500], [0.000, 0.000, 0.000], [0.000, 0.500, 0.634], [0.500, 0.000, 0.366], [0.500, 0.500, 0.000], [0.000, 0.500, 0.875], [0.500, 0.000, 0.125], [0.500, 0.500, 0.500]], "dos_ef_per_ev_atom": 0.506, "total_magnetization_mub_per_fu": 0.00, "rho_g_cm3": 7.972, "space_group": "P-4m2 (115)", "e_form_ev_per_atom": -0.789}

***

Record 17
{"formula": "La3ZnGe6Pd2", "functional": "GGA-PBE", "state": "relaxed", "lattice": [[6.046, 0.000, 0.000], [-3.023, 5.236, 0.000], [0.000, 0.000, 8.517]], "species": ["La", "La", "La", "Zn", "Ge", "Ge", "Ge", "Ge", "Ge", "Ge", "Pd", "Pd"], "frac_coords": [[0.000, 0.000, 0.000], [0.333, 0.667, 0.623], [0.667, 0.333, 0.377], [0.000, 0.000, 0.500], [0.190, 0.379, 0.280], [0.190, 0.810, 0.280], [0.379, 0.190, 0.720], [0.621, 0.810, 0.280], [0.810, 0.190, 0.720], [0.810, 0.621, 0.720], [0.333, 0.667, 0.028], [0.667, 0.333, 0.972]], "dos_ef_per_ev_atom": 0.469, "total_magnetization_mub_per_fu": 0.00, "rho_g_cm3": 6.964, "space_group": "P-3m1 (164)", "e_form_ev_per_atom": -0.451}

***

Record 18
{"formula": "La2Zn3GePd4", "functional": "GGA-PBE", "state": "relaxed", "lattice": [[4.546, 0.000, 0.000], [0.000, 4.546, 0.000], [0.000, 0.000, 9.636]], "species": ["La", "La", "Zn", "Zn", "Zn", "Ge", "Pd", "Pd", "Pd", "Pd"], "frac_coords": [[0.000, 0.500, 0.243], [0.500, 0.000, 0.757], [0.000, 0.500, 0.876], [0.500, 0.000, 0.124], [0.500, 0.500, 0.500], [0.000, 0.000, 0.500], [0.000, 0.000, 0.000], [0.000, 0.500, 0.616], [0.500, 0.000, 0.384], [0.500, 0.500, 0.000]], "dos_ef_per_ev_atom": 0.595, "total_magnetization_mub_per_fu": 0.00, "rho_g_cm3": 8.107, "space_group": "P-4m2 (115)", "e_form_ev_per_atom": -0.686}

***

Record 19
{"formula": "LaZnGePd3", "functional": "GGA-PBE", "state": "relaxed", "lattice": [[3.300, -6.195, 0.000], [3.300, 6.195, 0.000], [0.000, 0.000, 5.810]], "species": ["La", "La", "Zn", "Zn", "Ge", "Ge", "Pd", "Pd", "Pd", "Pd", "Pd", "Pd"], "frac_coords": [[0.207, 0.793, 0.750], [0.793, 0.207, 0.250], [0.136, 0.864, 0.250], [0.864, 0.136, 0.750], [0.449, 0.551, 0.750], [0.551, 0.449, 0.250], [0.209, 0.209, 0.000], [0.209, 0.209, 0.500], [0.342, 0.658, 0.250], [0.658, 0.342, 0.750], [0.791, 0.791, 0.000], [0.791, 0.791, 0.500]], "dos_ef_per_ev_atom": 0.275, "total_magnetization_mub_per_fu": 0.00, "rho_g_cm3": 8.336, "space_group": "Cmcm (63)", "e_form_ev_per_atom": -0.571}

***

Record 20
{"formula": "La3ZnGe2Pd9", "functional": "GGA-PBE", "state": "relaxed", "lattice": [[5.815, 0.000, 0.000], [-2.907, 5.036, 0.000], [0.000, 0.000, 10.992]], "species": ["La", "La", "La", "Zn", "Ge", "Ge", "Pd", "Pd", "Pd", "Pd", "Pd", "Pd", "Pd", "Pd", "Pd"], "frac_coords": [[0.000, 0.000, 0.000], [0.333, 0.667, 0.611], [0.667, 0.333, 0.389], [0.000, 0.000, 0.500], [0.333, 0.667, 0.165], [0.667, 0.333, 0.835], [0.000, 0.500, 0.000], [0.163, 0.326, 0.323], [0.163, 0.837, 0.323], [0.326, 0.163, 0.677], [0.500, 0.000, 0.000], [0.500, 0.500, 0.000], [0.674, 0.837, 0.323], [0.837, 0.163, 0.677], [0.837, 0.674, 0.677]], "dos_ef_per_ev_atom": 0.457, "total_magnetization_mub_per_fu": 0.00, "rho_g_cm3": 8.179, "space_group": "P-3m1 (164)", "e_form_ev_per_atom": -0.619}

***

Record 21
{"formula": "La2ZnGe3Pd4", "functional": "GGA-PBE", "state": "relaxed", "lattice": [[4.391, 0.000, 0.000], [0.000, 4.391, 0.000], [0.000, 0.000, 10.225]], "species": ["La", "La", "Zn", "Ge", "Ge", "Ge", "Pd", "Pd", "Pd", "Pd"], "frac_coords": [[0.000, 0.500, 0.248], [0.500, 0.000, 0.752], [0.500, 0.500, 0.000], [0.000, 0.000, 0.000], [0.000, 0.500, 0.628], [0.500, 0.000, 0.372], [0.000, 0.000, 0.500], [0.000, 0.500, 0.872], [0.500, 0.000, 0.128], [0.500, 0.500, 0.500]], "dos_ef_per_ev_atom": 0.459, "total_magnetization_mub_per_fu": 0.00, "rho_g_cm3": 8.311, "space_group": "P-4m2 (115)", "e_form_ev_per_atom": -0.830}

***

Record 22
{"formula": "La4PmGe2", "functional": "GGA-PBE", "state": "relaxed", "lattice": [[8.353, 0.000, 0.000], [0.000, 6.523, 0.000], [-2.989, 0.000, 7.800]], "species": ["La", "La", "La", "La", "La", "La", "La", "La", "Pm", "Pm", "Ge", "Ge", "Ge", "Ge"], "frac_coords": [[0.103, 0.250, 0.495], [0.146, 0.750, 0.266], [0.263, 0.511, 0.912], [0.263, 0.989, 0.912], [0.737, 0.011, 0.088], [0.737, 0.489, 0.088], [0.854, 0.250, 0.734], [0.897, 0.750, 0.505], [0.483, 0.250, 0.353], [0.517, 0.750, 0.647], [0.100, 0.250, 0.135], [0.494, 0.250, 0.739], [0.506, 0.750, 0.261], [0.900, 0.750, 0.865]], "dos_ef_per_ev_atom": 1.299, "total_magnetization_mub_per_fu": 0.00, "e_above_lowest_polymorph_ev_per_atom": 0.000, "rho_g_cm3": 6.610, "space_group": "P2_1/m (11)", "e_form_ev_per_atom": -0.483}